# YTm5Sc5 PBE optimized geometry
# theoretical density	6.02	Mg/m³
# DFT formation energy	261	kJ/mol of formula units
# D(E_F)	22.41	states/eV/cell
data_YTm5Sc5
_cell_length_a 5.7586
_cell_length_b 5.7586
_cell_length_c 11.1260
_cell_angle_alpha 90.00
_cell_angle_beta 90.00
_cell_angle_gamma 120.00
_symmetry_space_group_name_H-M 'P -6 m 2'
_symmetry_Int_Tables_number 187
_symmetry_space_group_name_Hall 'P -6 2'
loop_
_atom_site_label
_atom_site_fract_x
_atom_site_fract_y
_atom_site_fract_z
Y1 0.0000 0.0000 0.0000
Tm1 0.0000 0.0000 0.3201
Tm2 0.3333 0.6667 0.1622
Tm3 0.6667 0.3333 0.0000
Sc1 0.5016 0.0031 0.5000
Sc2 0.6667 0.3333 0.2680


# KRbGeS3 PBE optimized geometry
# theoretical density	2.22	Mg/m³
# D(E_F)	0.00	states/eV/cell
# ΔE_f (raw)	-0.871	eV/atom
data_KRbGeS3
_cell_length_a 9.3391
_cell_length_b 9.5649
_cell_length_c 9.8320
_cell_angle_alpha 90.00
_cell_angle_beta 93.57
_cell_angle_gamma 90.00
_symmetry_space_group_name_H-M 'C 1 2/m 1'
_symmetry_Int_Tables_number 12
loop_
_symmetry_equiv_pos_as_xyz
'x,y,z'
'-x,-y,-z'
'-x,y,-z'
'x,-y,z'
'x+1/2,y+1/2,z'
'-x+1/2,-y+1/2,-z'
'-x+1/2,y+1/2,-z'
'x+1/2,-y+1/2,z'
loop_
_atom_site_label
_atom_site_fract_x
_atom_site_fract_y
_atom_site_fract_z
K1 0.0000 0.2300 0.0000
Rb1 0.1894 0.5000 0.6205
Ge1 0.1724 0.5000 0.2118
S1 0.1219 0.3099 0.3116
S2 0.2403 0.5000 0.0070